[1]
PBE HoSi2Pd3, relaxed; calculated total energy = -108.90 eV/cell; SG = C2/m; total magnetic moment = 0.0 μB per cell; crystal system = monoclinic
1.0
3.9735 0.0000 0.0000
-1.9868 7.7430 -2.5711
0.0000 -0.0373 9.8623
Pd Ho Si
9 3 6
direct
0.3208 0.6417 0.0396
0.2208 0.4416 0.3913
0.6792 0.3583 0.9604
0.5000 0.0000 0.5000
0.6222 0.2445 0.1968
0.7792 0.5584 0.6087
0.9597 0.9195 0.6712
0.0403 0.0805 0.3288
0.3778 0.7555 0.8032
0.8465 0.6929 0.3071
0.0000 0.0000 0.0000
0.1535 0.3071 0.6929
0.8008 0.6016 0.8686
0.1992 0.3984 0.1314
0.6362 0.2723 0.4497
0.3638 0.7277 0.5503
0.5381 0.0763 0.7800
0.4619 0.9237 0.2200

[2]
PBE HoSi3Pd3, relaxed; calculated total energy = -80.43 eV/cell; SG = P6_3/m; total magnetic moment = 0.0 μB per cell; crystal system = hexagonal; energy relative to the lowest polymorph listed for this composition = 0.000 eV per formula unit
1.0
-0.7452 1.0457 -3.8020
-6.0007 -6.6179 -0.6441
-2.5755 8.1295 2.7408
Pd Si Ho
6 6 2
direct
0.7500 0.9046 0.6319
0.2500 0.0954 0.3681
0.7500 0.7273 0.0954
0.7500 0.3681 0.2727
0.2500 0.6319 0.7273
0.2500 0.2727 0.9046
0.7500 0.6131 0.5655
0.7500 0.4345 0.0476
0.2500 0.0476 0.6131
0.7500 0.9524 0.3869
0.2500 0.5655 0.9524
0.2500 0.3869 0.4345
0.2500 0.6667 0.3333
0.7500 0.3333 0.6667

[3]
PBE Ho2Si3Pd2, relaxed; calculated total energy = -84.42 eV/cell; SG = Cmcm; total magnetic moment = 0.0 μB per cell; crystal system = orthorhombic; energy relative to the lowest polymorph listed for this composition = 0.000 eV per formula unit
1.0
4.0232 0.0000 -0.9592
0.0000 6.8963 0.0000
0.0418 0.0000 9.0925
Pd Si Ho
4 6 4
direct
0.6914 0.5482 0.3827
0.3086 0.0482 0.6173
0.6914 0.9518 0.3827
0.3086 0.4518 0.6173
0.4403 0.5729 0.8806
0.7756 0.2500 0.5511
0.2244 0.7500 0.4489
0.5597 0.4271 0.1194
0.4403 0.9271 0.8806
0.5597 0.0729 0.1194
0.8459 0.7500 0.6918
0.1541 0.2500 0.3082
0.9455 0.2500 0.8911
0.0545 0.7500 0.1089

Going through the records in order, we get N(E_F) values of 3.0 3.5 3.1 states/eV/f.u..
Going through the records in order, we get ΔE_f (raw) values of -0.883 -0.542 -0.914 eV/atom.